# KTa2Br GGA-PBE relaxed
# - Formation energy without anion corrections: 3.61 eV per formula unit
# - DOS at the Fermi energy: 17.6 states/eV/cell
# - E: -22.9 eV per formula unit
# - E above lowest polymorph: 67.2 kJ per mole of atoms
# - Magnetization: 0.0 μB/f.u.
data_KTa2Br
_chemical_formula_sum 'K4 Ta8 Br4'
_symmetry_space_group_name_H-M 'I -4 2 d'
_symmetry_Int_Tables_number 122
_symmetry_space_group_name_Hall 'I -4 2bw'
_cell_length_a 3.952
_cell_length_b 3.952
_cell_length_c 27.428
_cell_angle_alpha 90.00
_cell_angle_beta 90.00
_cell_angle_gamma 90.00
loop_
_atom_site_label
_atom_site_fract_x
_atom_site_fract_y
_atom_site_fract_z
K1 0.000 0.000 0.000
Ta1 0.249 0.750 0.625
Br1 0.000 0.000 0.500